## BaPrMn2O6 (PBE+U)

Data for an optimized crystal structure of BaPrMn2O6.

Cell lengths 3.9542, 3.9542, 7.9059 Å; angles 90.00, 90.00, 90.00 degrees
With the nearest neighbours (Å) after each atom.
Space group P4/mmm (No. 123)
Unique sites:
Ba1 0.0000 0.0000 0.0000 x1  12 O 2.80-2.93
Pr1 0.0000 0.0000 0.5000 x1  12 O 2.67-2.80
Mn1 0.5000 0.5000 0.2531 x2  6 O 1.95-2.00
O1 0.0000 0.5000 0.2735 x4  2 Mn 1.98
O2 0.5000 0.5000 0.0000 x1  2 Mn 2.00
O3 0.5000 0.5000 0.5000 x1  2 Mn 1.95

Computed properties:
Fermi-level density of states in states/eV/atom: 0.089
Spin magnetization in μB/atom: 0.700
Crystal system: tetragonal
DFT total energy in eV/atom: -7.4112